First-principles (PBE+U) data for crystalline TlCoO at its relaxed geometry, as listed in Alexandria.

a = 3.339 Å, b = 3.341 Å, c = 5.852 Å
α = 106.54°, β = 90.06°, γ = 119.97°
Last column: magnetic moment on the atom in μB.
Fractional coordinates of all 3 atoms:
O 0.267 0.143 0.335  0.13
Tl 0.113 0.836 0.872  0.00
Co 0.628 0.864 0.418  2.60

Calculated values
- energy above the lowest structure with this stoichiometry (meV/atom) = 13
- DFT total energy (eV for the cell shown) = -13.717
- D(E_F) (states/eV/cell) = 1.0



First-principles (PBE+U) data for crystalline TlCoO at its relaxed geometry, as listed in Alexandria.

a = 3.524 Å, b = 6.214 Å, c = 6.254 Å
α = 110.89°, β = 93.11°, γ = 104.38°
Last column: magnetic moment on the atom in μB.
Fractional coordinates of all 6 atoms:
Co 0.389 0.884 0.809  2.20
O 0.588 0.206 0.897  0.12
O 0.194 0.570 0.773  0.15
Tl 0.149 0.313 0.229  0.00
Tl 0.819 0.865 0.398  -0.02
Co 0.647 0.472 0.804  2.57

Calculated values
- energy above the lowest structure with this stoichiometry (meV/atom) = 31
- DFT total energy (eV for the cell shown) = -27.326
- D(E_F) (states/eV/cell) = 2.1



First-principles (PBE+U) data for crystalline TlCoO at its relaxed geometry, as listed in Alexandria.

a = 3.571 Å, b = 5.938 Å, c = 6.441 Å
α = 90.00°, β = 116.63°, γ = 90.00°
Last column: magnetic moment on the atom in μB.
Fractional coordinates of all 6 atoms:
Co 0.500 0.500 0.000  2.09
Tl 0.500 0.000 0.000  -0.04
Co 0.500 0.000 0.500  2.09
O 0.000 0.000 0.500  0.10
O 0.000 0.500 0.000  0.10
Tl 0.500 0.500 0.500  -0.04

Calculated values
- energy above the lowest structure with this stoichiometry (meV/atom) = 53
- DFT total energy (eV for the cell shown) = -27.197
- D(E_F) (states/eV/cell) = 0.6